Entry 1:
This record from the Alexandria database describes crystalline BeTcP at its relaxed geometry. The functional is GGA-PBE.

The structure belongs to space group Fmm2 (No. 42); the cell edges are 2.9560, 4.6316 and 11.1522 Å and the angles 90.00°, 90.00° and 90.00°. The distinct sites, in fractional coordinates, are Be at (0.0000, 0.0000, 0.0000), Tc at (0.0000, 0.0000, 0.3291) and P at (0.0000, 0.0000, 0.6600).

The spin magnetization comes out at 0.0 μB per cell. For the total energy, the calculation gives -6.21 eV per atom.

***

Entry 2:
This record from the Alexandria database describes crystalline BeTcP at its relaxed geometry. The functional is GGA-PBE.

The structure belongs to space group P3m1 (No. 156); the cell edges are 3.8552, 3.8552 and 3.0376 Å and the angles 90.00°, 90.00° and 120.00°. The distinct sites, in fractional coordinates, are Be at (0.0000, 0.0000, 0.0000), Tc at (0.6667, 0.3333, 0.4708) and P at (0.3333, 0.6667, 0.3904).

The spin magnetization comes out at 0.0 μB per cell. For the total energy, the calculation gives -6.53 eV per atom.

***

Entry 3:
This record from the Alexandria database describes crystalline Be2Tc2P at its relaxed geometry. The functional is GGA-PBE.

The structure belongs to space group P4/mbm (No. 127); the cell edges are 5.8053, 5.8053 and 3.2193 Å and the angles 90.00°, 90.00° and 90.00°. The distinct sites, in fractional coordinates, are Be at (0.1216, 0.3784, 0.0000), Tc at (0.1799, 0.6799, 0.5000) and P at (0.0000, 0.0000, 0.0000).

The spin magnetization comes out at 0.0 μB per cell. For the total energy, the calculation gives -6.95 eV per atom.

***

Entry 4:
This record from the Alexandria database describes crystalline BeTcP at its relaxed geometry. The functional is GGA-PBE.

The structure belongs to space group F-43m (No. 216); the cell edges are 5.4721, 5.4721 and 5.4721 Å and the angles 90.00°, 90.00° and 90.00°. The distinct sites, in fractional coordinates, are Be at (0.0000, 0.0000, 0.0000), Tc at (0.2500, 0.2500, 0.2500) and P at (0.0000, 0.0000, 0.5000).

The spin magnetization comes out at 0.0 μB per cell. For the total energy, the calculation gives -6.43 eV per atom.

***

Entry 5:
This record from the Alexandria database describes crystalline BeTcP4 at its relaxed geometry. The functional is GGA-PBE.

The structure belongs to space group F-43m (No. 216); the cell edges are 6.8662, 6.8662 and 6.8662 Å and the angles 90.00°, 90.00° and 90.00°. The distinct sites, in fractional coordinates, are Be at (0.0000, 0.0000, 0.0000), Tc at (0.2500, 0.2500, 0.2500) and P at (0.1259, 0.1259, 0.6259).

The spin magnetization comes out at 0.0 μB per cell. For the total energy, the calculation gives -5.10 eV per atom.

***

Entry 6:
This record from the Alexandria database describes crystalline BeTcP at its relaxed geometry. The functional is GGA-PBE.

The structure belongs to space group Cmcm (No. 63); the cell edges are 3.0399, 18.0447 and 3.1222 Å and the angles 90.00°, 90.00° and 90.00°. The distinct sites, in fractional coordinates, are Be at (0.0000, 0.0503, 0.2500), Tc at (0.0000, 0.3465, 0.7500) and P at (0.0000, 0.2065, 0.7500).

The spin magnetization comes out at 0.0 μB per cell. For the total energy, the calculation gives -6.33 eV per atom.

***

Entry 7:
This record from the Alexandria database describes crystalline BeTcP at its relaxed geometry. The functional is GGA-PBE.

The structure belongs to space group F-43m (No. 216); the cell edges are 5.3890, 5.3890 and 5.3890 Å and the angles 90.00°, 90.00° and 90.00°. The distinct sites, in fractional coordinates, are Be at (0.0000, 0.0000, 0.0000), Tc at (0.0000, 0.0000, 0.5000) and P at (0.2500, 0.2500, 0.2500).

The spin magnetization comes out at 0.0 μB per cell. For the total energy, the calculation gives -6.66 eV per atom.

***

Entry 8:
This record from the Alexandria database describes crystalline BeTcP at its relaxed geometry. The functional is GGA-PBE.

The structure belongs to space group C2 (No. 5); the cell edges are 8.1585, 7.6078 and 6.1160 Å and the angles 90.00°, 130.12° and 90.00°. The distinct sites, in fractional coordinates, are Be at (0.0882, 0.0000, 0.4043), Be at (0.0944, 0.3674, 0.3844), Tc at (0.0911, 0.6804, 0.3688), Tc at (0.2197, 0.4296, 0.1017), P at (0.1956, 0.1102, 0.1533) and P at (0.2230, 0.2386, 0.7975).

The spin magnetization comes out at 0.0 μB per cell. For the total energy, the calculation gives -6.72 eV per atom.

***

Entry 9:
This record from the Alexandria database describes crystalline BeTeP at its relaxed geometry. The functional is GGA-PBE.

The structure belongs to space group C2/m (No. 12); the cell edges are 11.6033, 3.6321 and 7.7030 Å and the angles 90.00°, 122.54° and 90.00°. The distinct sites, in fractional coordinates, are Be at (0.0392, 0.0000, 0.2891), Te at (0.1639, 0.0000, 0.6641) and P at (0.0545, 0.5000, 0.1641).

The spin magnetization comes out at 0.0 μB per cell. For the total energy, the calculation gives -4.14 eV per atom. Its formation energy (no corrections) is -0.048 eV per atom.

***

Entry 10:
This record from the Alexandria database describes crystalline BeTe3P at its relaxed geometry. The functional is GGA-PBE.

The structure belongs to space group Pm-3m (No. 221); the cell edges are 4.9086, 4.9086 and 4.9086 Å and the angles 90.00°, 90.00° and 90.00°. The distinct sites, in fractional coordinates, are Be at (0.0000, 0.0000, 0.0000), Te at (0.0000, 0.0000, 0.5000) and P at (0.5000, 0.5000, 0.5000).

The spin magnetization comes out at 0.0 μB per cell. For the total energy, the calculation gives -3.03 eV per atom. Its formation energy (no corrections) is 0.687 eV per atom.

***

Entry 11:
This record from the Alexandria database describes crystalline BeTeP at its relaxed geometry. The functional is GGA-PBE.

The structure belongs to space group Cm (No. 8); the cell edges are 6.7528, 3.5749 and 4.7765 Å and the angles 90.00°, 90.10° and 90.00°. The distinct sites, in fractional coordinates, are Be at (0.0000, 0.0000, 0.0000), Te at (0.3196, 0.5000, 0.5036) and P at (0.3166, 0.0000, 0.0052).

The spin magnetization comes out at 0.0 μB per cell. For the total energy, the calculation gives -4.00 eV per atom. Its formation energy (no corrections) is 0.096 eV per atom.

***

Entry 12:
This record from the Alexandria database describes crystalline BeTeP2 at its relaxed geometry. The functional is GGA-PBE.

The structure belongs to space group I4/mmm (No. 139); the cell edges are 3.4916, 3.4916 and 12.0481 Å and the angles 90.00°, 90.00° and 90.00°. The distinct sites, in fractional coordinates, are Be at (0.0000, 0.0000, 0.0000), Te at (0.0000, 0.0000, 0.5000) and P at (0.0000, 0.5000, 0.2500).

The spin magnetization comes out at 0.0 μB per cell. For the total energy, the calculation gives -3.81 eV per atom. Its formation energy (no corrections) is 0.616 eV per atom.

***

Entry 13:
This record from the Alexandria database describes crystalline BeTeP at its relaxed geometry. The functional is GGA-PBE.

The structure belongs to space group C2 (No. 5); the cell edges are 12.2038, 3.9361 and 7.8589 Å and the angles 90.00°, 127.21° and 90.00°. The distinct sites, in fractional coordinates, are Be at (0.1208, 0.0000, 0.3228), Te at (0.2064, 0.1804, 0.6842) and P at (0.0535, 0.4959, 0.1746).

The spin magnetization comes out at 0.0 μB per cell. For the total energy, the calculation gives -4.14 eV per atom. Its formation energy (no corrections) is -0.045 eV per atom.

***

Entry 14:
This record from the Alexandria database describes crystalline BeTeP2 at its relaxed geometry. The functional is GGA-PBE.

The structure belongs to space group Cm (No. 8); the cell edges are 6.2469, 3.2464 and 8.3889 Å and the angles 90.00°, 100.26° and 90.00°. The distinct sites, in fractional coordinates, are Be at (0.0000, 0.0000, 0.0000), Te at (0.1548, 0.5000, 0.8210), P at (0.3355, 0.5000, 0.3549) and P at (0.4935, 0.0000, 0.2084).

The spin magnetization comes out at 0.0 μB per cell. For the total energy, the calculation gives -4.25 eV per atom. Its formation energy (no corrections) is 0.174 eV per atom.

***

Entry 15:
This record from the Alexandria database describes crystalline BeTeP at its relaxed geometry. The functional is GGA-PBE.

The structure belongs to space group I4mm (No. 107); the cell edges are 3.2032, 3.2032 and 11.2458 Å and the angles 90.00°, 90.00° and 90.00°. The distinct sites, in fractional coordinates, are Be at (0.0000, 0.0000, 0.0000), Te at (0.0000, 0.0000, 0.2323) and P at (0.0000, 0.0000, 0.4698).

The spin magnetization comes out at 0.0 μB per cell. For the total energy, the calculation gives -3.83 eV per atom. Its formation energy (no corrections) is 0.258 eV per atom.

***

Entry 16:
This record from the Alexandria database describes crystalline BeTeP at its relaxed geometry. The functional is GGA-PBE.

The structure belongs to space group Fmm2 (No. 42); the cell edges are 3.8117, 6.3315 and 11.0961 Å and the angles 90.00°, 90.00° and 90.00°. The distinct sites, in fractional coordinates, are Be at (0.0000, 0.0000, 0.0000), Te at (0.0000, 0.0000, 0.6566) and P at (0.0000, 0.0000, 0.4253).

The spin magnetization comes out at 0.0 μB per cell. For the total energy, the calculation gives -3.72 eV per atom. Its formation energy (no corrections) is 0.373 eV per atom.

***

Entry 17:
This record from the Alexandria database describes crystalline BeTeP2 at its relaxed geometry. The functional is GGA-PBE.

The structure belongs to space group Pm (No. 6); the cell edges are 3.8863, 3.7633 and 5.7446 Å and the angles 90.00°, 102.53° and 90.00°. The distinct sites, in fractional coordinates, are Be at (0.0000, 0.0000, 0.0000), Te at (0.6038, 0.5000, 0.5137), P at (0.0750, 0.5000, 0.1747) and P at (0.4450, 0.0000, 0.8062).

The spin magnetization comes out at 0.0 μB per cell. For the total energy, the calculation gives -4.27 eV per atom. Its formation energy (no corrections) is 0.154 eV per atom.

***

Entry 18:
This record from the Alexandria database describes crystalline BeTeP2 at its relaxed geometry. The functional is GGA-PBE.

The structure belongs to space group P2/m (No. 10); the cell edges are 4.0890, 3.5999 and 5.0589 Å and the angles 90.00°, 101.81° and 90.00°. The distinct sites, in fractional coordinates, are Be at (0.0000, 0.0000, 0.0000), Te at (0.5000, 0.0000, 0.5000) and P at (0.2635, 0.5000, 0.8500).

The spin magnetization comes out at 0.0 μB per cell. For the total energy, the calculation gives -4.24 eV per atom. Its formation energy (no corrections) is 0.180 eV per atom.

***

Entry 19:
This record from the Alexandria database describes crystalline BeTeP2 at its relaxed geometry. The functional is GGA-PBE.

The structure belongs to space group Cmmm (No. 65); the cell edges are 5.2128, 7.5209 and 3.5890 Å and the angles 90.00°, 90.00° and 90.00°. The distinct sites, in fractional coordinates, are Be at (0.0000, 0.0000, 0.0000), Te at (0.0000, 0.5000, 0.0000) and P at (0.2500, 0.2500, 0.5000).

The spin magnetization comes out at 0.0 μB per cell. For the total energy, the calculation gives -3.58 eV per atom. Its formation energy (no corrections) is 0.840 eV per atom.

***

Entry 20:
This record from the Alexandria database describes crystalline BeTeP at its relaxed geometry. The functional is GGA-PBE.

The structure belongs to space group Cm (No. 8); the cell edges are 6.3967, 12.3560 and 3.9512 Å and the angles 90.00°, 117.97° and 90.00°. The distinct sites, in fractional coordinates, are Be at (0.0000, 0.1631, 0.0000), Te at (0.0941, 0.3516, 0.9541) and P at (0.4964, 0.4081, 0.4929).

The spin magnetization comes out at 0.0 μB per cell. For the total energy, the calculation gives -4.10 eV per atom. Its formation energy (no corrections) is -0.007 eV per atom.